# 1
VASP calculation (PBE-GGA) on a geometry-optimized Th4Sb3Os structure.

Structure (POSCAR):
```
Th4Sb3Os
1.0
-4.163 -4.249 -4.574
5.205 -4.554 3.735
-5.894 -1.327 6.597
Th Os Sb
8 2 6
direct
0.524 0.768 0.652 Th
0.991 0.785 0.888 Th
0.509 0.215 0.888 Th
0.976 0.232 0.652 Th
0.024 0.768 0.348 Th
0.476 0.232 0.348 Th
0.491 0.785 0.112 Th
0.009 0.215 0.112 Th
0.250 0.000 0.120 Os
0.750 0.000 0.880 Os
0.750 0.500 0.614 Sb
0.250 0.500 0.386 Sb
0.250 0.500 0.877 Sb
0.750 0.500 0.123 Sb
0.250 0.000 0.619 Sb
0.750 0.000 0.381 Sb
```

Results
D(E_F): 0.7801 states/eV per atom
energy relative to the elements, uncorrected: -73.42 kJ/mol of atoms

***

# 2
VASP calculation (PBE-GGA) on a geometry-optimized Th8Sb2Os3 structure.

Structure (POSCAR):
```
Th8Sb2Os3
1.0
-5.610 3.391 2.852
-3.000 -7.173 2.625
7.102 3.321 4.363
Th Os Sb
8 3 2
direct
0.104 0.901 0.802 Th
0.093 0.400 0.799 Th
0.396 0.856 0.206 Th
0.896 0.099 0.198 Th
0.604 0.650 0.794 Th
0.907 0.600 0.201 Th
0.396 0.350 0.206 Th
0.604 0.144 0.794 Th
0.000 0.254 0.000 Os
0.000 0.746 0.000 Os
0.500 0.000 0.000 Os
0.665 0.748 0.495 Sb
0.335 0.252 0.505 Sb
```

Results
D(E_F): 0.7848 states/eV per atom
energy relative to the elements, uncorrected: -28.45 kJ/mol of atoms

***

M_tot (computed, μB/cell): 0.00; 0.00
Calculated volume (computed, A^3/atom): 31.14; 34.53